No. 1
Entry from Alexandria: a relaxed LiAc3Ga2 crystal (PBE).

The uncorrected energy is -3.67 eV per atom. The space-group type is P4/mmm (123). The density of states at the Fermi level is 4.775 states/eV/f.u.

Cell: 3.9402 3.9402 12.0696 Å, 90.00 90.00 90.00°
Closest atoms and distances in Å follow each position.
Positions (direct):
Li (0.0000, 0.0000, 0.0000)  8 Ac 3.55, 4 Li 3.94
Ac (0.5000, 0.5000, 0.1817)  4 Ga 3.33, 4 Li 3.55
Ac (0.5000, 0.5000, 0.5000)  8 Ga 3.44, 2 Ac 3.84
Ac (0.5000, 0.5000, 0.8183)  4 Ga 3.33, 4 Li 3.55
Ga (0.0000, 0.0000, 0.3325)  8 Ac 3.33-3.44
Ga (0.0000, 0.0000, 0.6675)  8 Ac 3.33-3.44

=====

No. 2
Entry from Alexandria: a relaxed LiAc2Ga7 crystal (PBE).

The uncorrected energy is -3.63 eV per atom. The space-group type is P-4m2 (115). The density of states at the Fermi level is 3.415 states/eV/f.u.

Cell: 4.5157 4.5157 10.6754 Å, 90.00 90.00 90.00°
Closest atoms and distances in Å follow each position.
Positions (direct):
Li (0.0000, 0.0000, 0.0000)  4 Ga 2.65
Ac (0.0000, 0.5000, 0.7487)  14 Ga 3.43-3.51, 2 Li 3.51
Ac (0.5000, 0.0000, 0.2513)  14 Ga 3.43-3.51, 2 Li 3.51
Ga (0.0000, 0.0000, 0.5000)  4 Ga 2.65
Ga (0.0000, 0.5000, 0.1298)  3 Ga 2.56-2.65, 2 Li 2.65
Ga (0.0000, 0.5000, 0.3692)  5 Ga 2.56-2.65
Ga (0.5000, 0.0000, 0.6308)  5 Ga 2.56-2.65
Ga (0.5000, 0.0000, 0.8702)  3 Ga 2.56-2.65, 2 Li 2.65
Ga (0.5000, 0.5000, 0.0000)  4 Ga 2.65
Ga (0.5000, 0.5000, 0.5000)  4 Ga 2.65

=====

No. 3
Entry from Alexandria: a relaxed Li6Ac2Ga3 crystal (PBE).

The uncorrected energy is -2.82 eV per atom. The space-group type is P-62m (189). The density of states at the Fermi level is 9.062 states/eV/f.u.

Cell: 7.9607 7.9607 4.6730 Å, 90.00 90.00 120.00°
Closest atoms and distances in Å follow each position.
Positions (direct):
Li (0.0000, 0.2053, 0.0000)  2 Ga 2.82, 6 Li 2.83-2.97
Li (0.0000, 0.7513, 0.5000)  3 Ga 2.77-2.80, 4 Li 2.97
Li (0.2053, 0.0000, 0.0000)  2 Ga 2.82, 6 Li 2.83-2.97
Li (0.2487, 0.2487, 0.5000)  3 Ga 2.77-2.80, 4 Li 2.97
Li (0.7513, 0.0000, 0.5000)  3 Ga 2.77-2.80, 4 Li 2.97
Li (0.7947, 0.7947, 0.0000)  2 Ga 2.82, 6 Li 2.83-2.97
Ac (0.3333, 0.6667, 0.0000)  3 Li 3.28, 6 Ga 3.37
Ac (0.6667, 0.3333, 0.0000)  3 Li 3.28, 6 Ga 3.37
Ga (0.0000, 0.4028, 0.5000)  5 Li 2.77-2.82
Ga (0.4028, 0.0000, 0.5000)  5 Li 2.77-2.82
Ga (0.5972, 0.5972, 0.5000)  5 Li 2.77-2.82

=====

No. 4
Entry from Alexandria: a relaxed Li12AcGa4 crystal (PBE).

The uncorrected energy is -2.26 eV per atom. The space-group type is Im-3 (204). The density of states at the Fermi level is 6.465 states/eV/f.u.

Cell: 7.8125 7.8125 7.8125 Å, 109.47 109.47 109.47°
Closest atoms and distances in Å follow each position.
Positions (direct):
Li (0.1676, 0.5217, 0.3540)  2 Ga 2.55, 1 Li 2.63
Li (0.1676, 0.8136, 0.6460)  2 Ga 2.55, 1 Li 2.63
Li (0.1864, 0.3540, 0.8324)  2 Ga 2.55, 1 Li 2.63
Li (0.3540, 0.1676, 0.5217)  2 Ga 2.55, 1 Li 2.63
Li (0.3540, 0.8324, 0.1864)  2 Ga 2.55, 1 Li 2.63
Li (0.4783, 0.6460, 0.8324)  2 Ga 2.55, 1 Li 2.63
Li (0.5217, 0.3540, 0.1676)  2 Ga 2.55, 1 Li 2.63
Li (0.6460, 0.1676, 0.8136)  2 Ga 2.55, 1 Li 2.63
Li (0.6460, 0.8324, 0.4783)  2 Ga 2.55, 1 Li 2.63
Li (0.8136, 0.6460, 0.1676)  2 Ga 2.55, 1 Li 2.63
Li (0.8324, 0.1864, 0.3540)  2 Ga 2.55, 1 Li 2.63
Li (0.8324, 0.4783, 0.6460)  2 Ga 2.55, 1 Li 2.63
Ac (0.0000, 0.0000, 0.0000)  12 Li 3.53, 8 Ga 3.91
Ga (0.0000, 0.0000, 0.5000)  6 Li 2.55
Ga (0.0000, 0.5000, 0.0000)  6 Li 2.55
Ga (0.5000, 0.0000, 0.0000)  6 Li 2.55
Ga (0.5000, 0.5000, 0.5000)  6 Li 2.55

=====

No. 5
Entry from Alexandria: a relaxed Li4Ac3Ga2 crystal (PBE).

The uncorrected energy is -3.06 eV per atom. The space-group type is C2/m (12). The density of states at the Fermi level is 7.895 states/eV/f.u.

Cell: 6.1646 6.1646 9.5998 Å, 112.90 112.90 47.53°
Closest atoms and distances in Å follow each position.
Positions (direct):
Li (0.0152, 0.0152, 0.3514)  2 Ga 2.83, 1 Li 3.01
Li (0.3017, 0.3017, 0.9623)  2 Li 2.96, 2 Ga 2.96-3.17, 2 Ac 3.26
Li (0.6983, 0.6983, 0.0377)  2 Li 2.96, 2 Ga 2.96-3.17, 2 Ac 3.26
Li (0.9848, 0.9848, 0.6486)  2 Ga 2.83, 1 Li 3.01
Ac (0.0000, 0.0000, 0.0000)  8 Li 3.26-3.57, 4 Ga 3.34
Ac (0.3135, 0.3135, 0.3561)  8 Li 3.35-3.73, 4 Ga 3.39-3.49, 1 Ac 3.73
Ac (0.6865, 0.6865, 0.6439)  8 Li 3.35-3.73, 4 Ga 3.39-3.49, 1 Ac 3.73
Ga (0.4253, 0.4253, 0.7446)  4 Li 2.83-3.17
Ga (0.5747, 0.5747, 0.2554)  4 Li 2.83-3.17

=====

No. 6
Entry from Alexandria: a relaxed LiAc2Ga3 crystal (PBE).

The uncorrected energy is -3.68 eV per atom. The space-group type is Fmmm (69). The density of states at the Fermi level is 4.870 states/eV/f.u.

Cell: 9.2703 9.0796 6.3107 Å, 71.52 68.27 40.21°
Closest atoms and distances in Å follow each position.
Positions (direct):
Li (0.1686, 0.1686, 0.8314)  3 Ga 2.69-2.76
Li (0.8314, 0.8314, 0.1686)  3 Ga 2.69-2.76
Ac (0.2416, 0.7584, 0.7584)  2 Li 3.40, 10 Ga 3.42-3.43
Ac (0.2500, 0.2500, 0.2500)  4 Li 3.41, 8 Ga 3.43-3.44
Ac (0.7500, 0.7500, 0.7500)  4 Li 3.41, 8 Ga 3.43-3.44
Ac (0.7584, 0.2416, 0.2416)  2 Li 3.40, 10 Ga 3.42-3.43
Ga (0.1740, 0.6605, 0.3395)  2 Ga 2.61-2.65, 1 Li 2.76
Ga (0.3361, 0.3361, 0.6639)  2 Ga 2.61, 1 Li 2.69
Ga (0.3395, 0.8260, 0.1740)  2 Ga 2.61-2.65, 1 Li 2.76
Ga (0.6605, 0.1740, 0.8260)  2 Ga 2.61-2.65, 1 Li 2.76
Ga (0.6639, 0.6639, 0.3361)  2 Ga 2.61, 1 Li 2.69
Ga (0.8260, 0.3395, 0.6605)  2 Ga 2.61-2.65, 1 Li 2.76

=====

No. 7
Entry from Alexandria: a relaxed LiAcGa2 crystal (PBE).

The uncorrected energy is -3.47 eV per atom. The space-group type is R-3m (166). The density of states at the Fermi level is 2.465 states/eV/f.u.

Cell: 4.4501 4.4501 16.9086 Å, 90.00 90.00 120.00°
Closest atoms and distances in Å follow each position.
Positions (direct):
Li (0.0000, 0.0000, 0.0000)  6 Ga 2.65
Li (0.3333, 0.6667, 0.6667)  6 Ga 2.65
Li (0.6667, 0.3333, 0.3333)  6 Ga 2.65
Ac (0.0000, 0.0000, 0.5000)  8 Ga 3.37-3.46
Ac (0.3333, 0.6667, 0.1667)  8 Ga 3.37-3.46
Ac (0.6667, 0.3333, 0.8333)  8 Ga 3.37-3.46
Ga (0.0000, 0.0000, 0.2952)  3 Li 2.65, 3 Ga 2.87
Ga (0.0000, 0.0000, 0.7048)  3 Li 2.65, 3 Ga 2.87
Ga (0.3333, 0.6667, 0.3714)  3 Li 2.65, 3 Ga 2.87
Ga (0.3333, 0.6667, 0.9619)  3 Li 2.65, 3 Ga 2.87
Ga (0.6667, 0.3333, 0.0381)  3 Li 2.65, 3 Ga 2.87
Ga (0.6667, 0.3333, 0.6286)  3 Li 2.65, 3 Ga 2.87

=====

No. 8
Entry from Alexandria: a relaxed Li3AcGa2 crystal (PBE).

The uncorrected energy is -2.92 eV per atom. The space-group type is P6/mmm (191). The density of states at the Fermi level is 4.666 states/eV/f.u.

Cell: 9.9851 9.9851 4.5880 Å, 90.00 90.00 120.00°
Closest atoms and distances in Å follow each position.
Positions (direct):
Li (0.0000, 0.2906, 0.0000)  4 Ga 2.82, 4 Li 2.90-3.10
Li (0.0000, 0.5000, 0.5000)  4 Ga 2.71
Li (0.0000, 0.7094, 0.0000)  4 Ga 2.82, 4 Li 2.90-3.10
Li (0.2906, 0.0000, 0.0000)  4 Ga 2.82, 4 Li 2.90-3.10
Li (0.2906, 0.2906, 0.0000)  4 Ga 2.82, 4 Li 2.90-3.10
Li (0.5000, 0.0000, 0.5000)  4 Ga 2.71
Li (0.5000, 0.5000, 0.5000)  4 Ga 2.71
Li (0.7094, 0.0000, 0.0000)  4 Ga 2.82, 4 Li 2.90-3.10
Li (0.7094, 0.7094, 0.0000)  4 Ga 2.82, 4 Li 2.90-3.10
Ac (0.0000, 0.0000, 0.5000)  6 Ga 3.26
Ac (0.3333, 0.6667, 0.0000)  6 Ga 3.40, 12 Li 3.56-3.68
Ac (0.6667, 0.3333, 0.0000)  6 Ga 3.40, 12 Li 3.56-3.68
Ga (0.1886, 0.3772, 0.5000)  6 Li 2.71-2.82
Ga (0.1886, 0.8114, 0.5000)  6 Li 2.71-2.82
Ga (0.3772, 0.1886, 0.5000)  6 Li 2.71-2.82
Ga (0.6228, 0.8114, 0.5000)  6 Li 2.71-2.82
Ga (0.8114, 0.1886, 0.5000)  6 Li 2.71-2.82
Ga (0.8114, 0.6228, 0.5000)  6 Li 2.71-2.82